DFT (PBE-GGA) results for an optimized crystal structure of LuPuCuSi.

Cell: 6.904 6.904 6.904 Å, 90.00 90.00 90.00°
Space group F-43m (No. 216)
One atom of each set of equivalent atoms:
Lu (0.000, 0.000, 0.000) x4
Pu (0.000, 0.000, 0.500) x4
Cu (0.250, 0.250, 0.750) x4
Si (0.250, 0.250, 0.250) x4

Computed properties:
Electronic total energy: -7.379 eV/atom